{"formula": "Zr3Sb", "functional": "PBE-GGA", "state": "relaxed", "lattice_angstrom": [[-4.1493, -0.9678, 3.7270], [1.8132, -1.7798, 5.0585], [1.3510, 4.2955, -3.4304]], "species": ["Sb", "Zr", "Zr", "Zr"], "fractional_positions": [[0.0000, 0.0000, 0.0000], [0.2500, 0.7500, 0.5000], [0.5000, 0.5000, 0.0000], [0.7500, 0.2500, 0.5000]], "space_group": "I4/mmm (139)", "magmom_total_mub_per_atom": 0.000, "formation_energy_uncorrected_ev_per_atom": -0.355}